This record from the Alexandria database describes crystalline SrMg2HAu at its relaxed geometry. The functional is PBE.

The theoretical density comes out at 5.50 g/cm³. The calculation puts the total energy at -12.80 eV per formula unit.

The structure belongs to space group P4/mmm (No. 123); the cell edges are 4.5606, 4.5606 and 4.8525 Å and the angles 90.00°, 90.00° and 90.00°. Symmetry generates all atoms from Sr at (0.0000, 0.0000, 0.0000), Mg at (0.0000, 0.5000, 0.5000), H at (0.0000, 0.0000, 0.5000) and Au at (0.5000, 0.5000, 0.0000).



This record from the Alexandria database describes crystalline Mg2TcHAu at its relaxed geometry. The functional is PBE.

The theoretical density comes out at 8.26 g/cm³. The calculation puts the total energy at -20.94 eV per formula unit.

The structure belongs to space group P4/mmm (No. 123); the cell edges are 4.3723, 4.3723 and 3.6219 Å and the angles 90.00°, 90.00° and 90.00°. Symmetry generates all atoms from Mg at (0.0000, 0.5000, 0.0000), Tc at (0.0000, 0.0000, 0.5000), H at (0.0000, 0.0000, 0.0000) and Au at (0.5000, 0.5000, 0.5000).



This record from the Alexandria database describes crystalline YMg2HAu at its relaxed geometry. The functional is PBE.

The theoretical density comes out at 6.25 g/cm³. The calculation puts the total energy at -18.23 eV per formula unit.

The structure belongs to space group P4/mmm (No. 123); the cell edges are 4.3937, 4.3937 and 4.6209 Å and the angles 90.00°, 90.00° and 90.00°. Symmetry generates all atoms from Y at (0.0000, 0.0000, 0.0000), Mg at (0.0000, 0.5000, 0.5000), H at (0.0000, 0.0000, 0.5000) and Au at (0.5000, 0.5000, 0.0000).



This record from the Alexandria database describes crystalline Mg2ZnHAu at its relaxed geometry. The functional is PBE.

The theoretical density comes out at 7.10 g/cm³. The calculation puts the total energy at -12.12 eV per formula unit.

The structure belongs to space group P4/mmm (No. 123); the cell edges are 4.3450, 4.3450 and 3.8641 Å and the angles 90.00°, 90.00° and 90.00°. Symmetry generates all atoms from Mg at (0.0000, 0.5000, 0.0000), Zn at (0.0000, 0.0000, 0.5000), H at (0.0000, 0.0000, 0.0000) and Au at (0.5000, 0.5000, 0.5000).



This record from the Alexandria database describes crystalline MgZr2HAu at its relaxed geometry. The functional is PBE.

The theoretical density comes out at 8.10 g/cm³. The calculation puts the total energy at -27.01 eV per formula unit. The polymorph energy (0 for the lowest one) is 0.00 eV/f.u.

The structure belongs to space group P4/mmm (No. 123); the cell edges are 4.2851, 4.2851 and 4.5184 Å and the angles 90.00°, 90.00° and 90.00°. Symmetry generates all atoms from Mg at (0.0000, 0.0000, 0.0000), Zr at (0.0000, 0.5000, 0.5000), H at (0.0000, 0.0000, 0.5000) and Au at (0.5000, 0.5000, 0.0000).



This record from the Alexandria database describes crystalline MnH3Au at its relaxed geometry. The functional is PBE.

The theoretical density comes out at 10.32 g/cm³. The calculation puts the total energy at -20.78 eV per formula unit. The polymorph energy (0 for the lowest one) is 0.00 eV/f.u.

The structure belongs to space group Pm-3m (No. 221); the cell edges are 3.4484, 3.4484 and 3.4484 Å and the angles 90.00°, 90.00° and 90.00°. Symmetry generates all atoms from Mn at (0.0000, 0.0000, 0.0000), H at (0.0000, 0.0000, 0.5000) and Au at (0.5000, 0.5000, 0.5000).



This record from the Alexandria database describes crystalline MnH2Au at its relaxed geometry. The functional is PBE.

The theoretical density comes out at 10.70 g/cm³. The calculation puts the total energy at -18.27 eV per formula unit. The polymorph energy (0 for the lowest one) is 0.55 eV/f.u.

The structure belongs to space group I-42d (No. 122); the cell edges are 4.1845, 4.1845 and 8.9987 Å and the angles 90.00°, 90.00° and 90.00°. Symmetry generates all atoms from Mn at (0.0000, 0.0000, 0.0000), H at (0.1825, 0.2500, 0.1250) and Au at (0.0000, 0.0000, 0.5000).



This record from the Alexandria database describes crystalline MnH2Au at its relaxed geometry. The functional is PBE.

The theoretical density comes out at 11.23 g/cm³. The calculation puts the total energy at -18.81 eV per formula unit. The polymorph energy (0 for the lowest one) is 0.00 eV/f.u.

The structure belongs to space group R-3m (No. 166, hexagonal axes); the cell edges are 2.8967, 2.8967 and 15.5074 Å and the angles 90.00°, 90.00° and 120.00°. Symmetry generates all atoms from Mn at (0.0000, 0.0000, 0.0000), H at (0.0000, 0.0000, 0.3732) and Au at (0.0000, 0.0000, 0.5000).